Below is crystalline LiAcHoCd at its relaxed geometry, with properties calculated at the PBE level.

```
4
Lattice="-3.403 -4.317 0.425 0.364 -3.380 4.341 -3.972 -0.013 3.824" Properties=species:S:1:pos:R:3 pbc="T T T"
Ac 0.000 0.000 0.000
Li -1.753 -1.928 2.148
Ho -3.506 -3.855 4.296
Cd -5.259 -5.783 6.443
```

Size of the total moment: 0.0 Bohr magnetons per cell
DOS at the Fermi energy: 1.32 states/eV/atom
Total energy: -2.9551 eV per atom
Formation energy: -0.0763 eV/atom


Below is crystalline AcHoMgCd at its relaxed geometry, with properties calculated at the PBE level.

```
4
Lattice="3.884 0.000 0.000 0.000 3.884 0.000 0.000 0.000 8.002" Properties=species:S:1:pos:R:3 pbc="T T T"
Ac 1.942 1.942 4.857
Ho 1.942 1.942 0.899
Mg 0.000 0.000 7.126
Cd 0.000 0.000 2.545
```

Size of the total moment: 0.0 Bohr magnetons per cell
Energy above the most stable polymorph in this dataset: 0.0 meV per atom
DOS at the Fermi energy: 1.19 states/eV/atom
Total energy: -2.9716 eV per atom
Formation energy: -0.1727 eV/atom


Below is crystalline AcHoMg2Cd4 at its relaxed geometry, with properties calculated at the PBE level.

```
8
Lattice="5.204 0.000 0.000 2.602 4.506 0.000 2.602 1.502 8.732" Properties=species:S:1:pos:R:3 pbc="T T T"
Ac 0.000 0.000 0.000
Ho 5.204 3.004 4.366
Mg 7.805 4.506 6.464
Mg 2.602 1.502 2.268
Cd 5.204 3.004 7.414
Cd 7.805 4.506 3.389
Cd 2.602 1.502 5.343
Cd 5.204 3.004 1.318
```

Size of the total moment: 0.0 Bohr magnetons per cell
DOS at the Fermi energy: 0.40 states/eV/atom
Total energy: -2.2165 eV per atom
Formation energy: -0.2745 eV/atom


Below is crystalline AcHoMgCd at its relaxed geometry, with properties calculated at the PBE level.

```
4
Lattice="5.562 0.000 0.000 2.781 4.817 0.000 2.781 1.606 4.542" Properties=species:S:1:pos:R:3 pbc="T T T"
Mg 8.344 4.817 3.406
Ac 5.562 3.212 2.271
Ho 0.000 0.000 0.000
Cd 2.781 1.606 1.135
```

Size of the total moment: 0.0 Bohr magnetons per cell
Energy above the most stable polymorph in this dataset: 27.6 meV per atom
DOS at the Fermi energy: 1.23 states/eV/atom
Total energy: -2.9440 eV per atom
Formation energy: -0.1450 eV/atom


Below is crystalline AcNdHoCd at its relaxed geometry, with properties calculated at the PBE level.

```
4
Lattice="5.673 0.000 0.000 2.836 4.913 0.000 2.836 1.638 4.632" Properties=species:S:1:pos:R:3 pbc="T T T"
Ac 0.000 0.000 0.000
Nd 8.509 4.913 3.474
Ho 2.836 1.638 1.158
Cd 5.673 3.275 2.316
```

Size of the total moment: 0.0 Bohr magnetons per cell
Energy above the most stable polymorph in this dataset: 190.6 meV per atom
DOS at the Fermi energy: 1.68 states/eV/atom
Total energy: -3.5299 eV per atom
Formation energy: 0.0624 eV/atom


Below is crystalline AcNdHoCd at its relaxed geometry, with properties calculated at the PBE level.

```
4
Lattice="-3.198 -1.442 -1.482 -1.252 -0.820 3.501 -3.899 8.124 0.509" Properties=species:S:1:pos:R:3 pbc="T T T"
Ac -0.308 0.642 0.040
Nd -5.275 5.223 1.408
Ho -3.646 1.829 1.195
Cd -2.180 4.542 0.285
```

Size of the total moment: 0.0 Bohr magnetons per cell
Energy above the most stable polymorph in this dataset: 0.0 meV per atom
DOS at the Fermi energy: 1.39 states/eV/atom
Total energy: -3.7205 eV per atom
Formation energy: -0.1282 eV/atom


Below is crystalline Ac2HoCdO6 at its relaxed geometry, with properties calculated at the PBE level.

```
20
Lattice="5.980 0.000 -0.069 0.000 6.204 0.000 -0.047 0.000 8.663" Properties=species:S:1:pos:R:3 pbc="T T T"
Ac 0.094 5.862 2.137
Ac 3.060 3.444 6.434
Ac 5.839 0.342 6.456
Ac 2.872 2.760 2.159
Ho 2.990 0.000 -0.035
Ho -0.024 3.102 4.332
Cd 2.966 0.000 4.297
Cd 0.000 3.102 0.000
O 1.813 4.382 0.568
O 4.780 4.924 4.865
O 4.119 1.822 8.025
O 1.153 1.280 3.729
O 1.772 4.313 3.797
O 4.738 4.993 8.094
O 4.160 1.891 4.797
O 1.194 1.211 0.500
O 5.255 3.435 2.153
O 2.241 5.871 6.520
O 0.678 2.769 6.440
O 3.691 0.333 2.074
```

Size of the total moment: 2.0 Bohr magnetons per cell
E_form (uncorrected): -2.70 eV/atom
DOS at the Fermi energy: 0.69 states/eV/atom
Total energy: -7.0466 eV per atom


Below is crystalline AcHoCdOs at its relaxed geometry, with properties calculated at the PBE level.

```
4
Lattice="5.234 0.000 0.000 2.617 4.533 0.000 2.617 1.511 4.274" Properties=species:S:1:pos:R:3 pbc="T T T"
Ac 0.000 0.000 0.000
Os 2.617 1.511 1.068
Ho 5.234 3.022 2.137
Cd 7.852 4.533 3.205
```

Size of the total moment: 0.0 Bohr magnetons per cell
DOS at the Fermi energy: 1.03 states/eV/atom
Total energy: -5.2008 eV per atom
Formation energy: 0.0069 eV/atom


Below is crystalline AcHoCdPb at its relaxed geometry, with properties calculated at the PBE level.

```
4
Lattice="5.589 0.000 0.000 2.794 4.840 0.000 2.794 1.613 4.563" Properties=species:S:1:pos:R:3 pbc="T T T"
Pb 2.794 1.613 1.141
Ac 0.000 0.000 0.000
Ho 5.589 3.227 2.282
Cd 8.383 4.840 3.422
```

Size of the total moment: 0.0 Bohr magnetons per cell
DOS at the Fermi energy: 0.91 states/eV/atom
Total energy: -3.6695 eV per atom
Formation energy: -0.3420 eV/atom


Below is crystalline AcPmHoCd at its relaxed geometry, with properties calculated at the PBE level.

```
4
Lattice="-1.980 0.484 3.207 -2.998 -1.708 -1.593 2.933 -7.959 3.013" Properties=species:S:1:pos:R:3 pbc="T T T"
Ac 0.227 -0.616 0.233
Pm -0.198 -6.829 3.160
Ho -1.420 -3.514 1.905
Cd 1.647 -4.468 1.691
```

Size of the total moment: 0.0 Bohr magnetons per cell
Energy above the most stable polymorph in this dataset: 0.0 meV per atom
DOS at the Fermi energy: 1.41 states/eV/atom
Total energy: -3.7144 eV per atom
Formation energy: -0.1265 eV/atom


Below is crystalline AcPmHoCd at its relaxed geometry, with properties calculated at the PBE level.

```
4
Lattice="5.657 0.000 0.000 2.829 4.899 0.000 2.829 1.633 4.619" Properties=species:S:1:pos:R:3 pbc="T T T"
Ac 5.657 3.266 2.310
Cd 0.000 0.000 0.000
Ho 8.486 4.899 3.464
Pm 2.829 1.633 1.155
```

Size of the total moment: 0.0 Bohr magnetons per cell
Energy above the most stable polymorph in this dataset: 192.4 meV per atom
DOS at the Fermi energy: 1.69 states/eV/atom
Total energy: -3.5220 eV per atom
Formation energy: 0.0659 eV/atom


Below is crystalline AcHoCdPt at its relaxed geometry, with properties calculated at the PBE level.

```
4
Lattice="-0.261 2.491 4.701 -4.629 0.263 2.622 -0.692 -2.813 4.470" Properties=species:S:1:pos:R:3 pbc="T T T"
Ac -4.187 -0.045 8.844
Ho -1.396 -0.015 2.948
Pt 0.000 0.000 0.000
Cd -2.791 -0.030 5.896
```

Size of the total moment: 0.0 Bohr magnetons per cell
DOS at the Fermi energy: 0.75 states/eV/atom
Total energy: -4.5021 eV per atom
Formation energy: -0.5915 eV/atom


Below is crystalline AcHoPuCd at its relaxed geometry, with properties calculated at the PBE level.

```
4
Lattice="-2.903 0.508 -4.773 -3.849 -3.846 -1.365 -5.452 1.309 0.159" Properties=species:S:1:pos:R:3 pbc="T T T"
Ac -9.153 -1.522 -4.484
Cd -6.102 -1.014 -2.990
Ho -3.051 -0.507 -1.495
Pu 0.000 0.000 0.000
```

Size of the total moment: 6.5 Bohr magnetons per cell
DOS at the Fermi energy: 4.11 states/eV/atom
Total energy: -5.8568 eV per atom
Formation energy: 0.1265 eV/atom


Below is crystalline AcHoCdRh at its relaxed geometry, with properties calculated at the PBE level.

```
4
Lattice="5.283 0.000 0.000 2.642 4.576 0.000 2.642 1.525 4.314" Properties=species:S:1:pos:R:3 pbc="T T T"
Ac 5.283 3.050 2.157
Rh 2.642 1.525 1.078
Ho 0.000 0.000 0.000
Cd 7.925 4.576 3.235
```

Size of the total moment: 0.0 Bohr magnetons per cell
DOS at the Fermi energy: 0.61 states/eV/atom
Total energy: -4.6186 eV per atom
Formation energy: -0.3804 eV/atom


Below is crystalline AcHoCdRu at its relaxed geometry, with properties calculated at the PBE level.

```
4
Lattice="-0.849 5.028 1.265 -3.527 2.824 -2.680 -4.518 1.408 2.281" Properties=species:S:1:pos:R:3 pbc="T T T"
Ru -6.671 6.944 0.650
Ac -4.447 4.629 0.433
Ho 0.000 0.000 0.000
Cd -2.224 2.315 0.217
```

Size of the total moment: 0.0 Bohr magnetons per cell
DOS at the Fermi energy: 0.93 states/eV/atom
Total energy: -4.8269 eV per atom
Formation energy: -0.1076 eV/atom


Below is crystalline AcHoCdSi at its relaxed geometry, with properties calculated at the PBE level.

```
4
Lattice="-1.389 2.323 -4.615 0.903 -2.512 -4.637 -4.103 -1.932 -2.839" Properties=species:S:1:pos:R:3 pbc="T T T"
Ac -2.295 -1.060 -6.046
Si -3.442 -1.590 -9.069
Ho 0.000 0.000 0.000
Cd -1.147 -0.530 -3.023
```

Size of the total moment: 0.0 Bohr magnetons per cell
E_form (uncorrected): -0.29 eV/atom
DOS at the Fermi energy: 0.69 states/eV/atom
Total energy: -4.0421 eV per atom


Below is crystalline AcSmHoCd at its relaxed geometry, with properties calculated at the PBE level.

```
4
Lattice="-1.345 -2.245 2.746 0.696 -3.047 -2.149 8.244 -0.611 3.537" Properties=species:S:1:pos:R:3 pbc="T T T"
Ac 0.629 -0.047 0.270
Sm 6.110 -3.123 3.059
Ho 2.684 -2.869 1.589
Cd 4.642 -0.344 1.992
```

Size of the total moment: 0.0 Bohr magnetons per cell
Energy above the most stable polymorph in this dataset: 0.0 meV per atom
DOS at the Fermi energy: 1.41 states/eV/atom
Total energy: -3.7041 eV per atom
Formation energy: -0.1240 eV/atom


Below is crystalline AcSmHoCd at its relaxed geometry, with properties calculated at the PBE level.

```
4
Lattice="5.647 0.000 0.000 2.823 4.890 0.000 2.823 1.630 4.611" Properties=species:S:1:pos:R:3 pbc="T T T"
Ac 0.000 0.000 0.000
Ho 2.823 1.630 1.153
Sm 8.470 4.890 3.458
Cd 5.647 3.260 2.305
```

Size of the total moment: 0.0 Bohr magnetons per cell
Energy above the most stable polymorph in this dataset: 194.7 meV per atom
DOS at the Fermi energy: 1.68 states/eV/atom
Total energy: -3.5094 eV per atom
Formation energy: 0.0707 eV/atom


Below is crystalline Ac2HoCdTe5 at its relaxed geometry, with properties calculated at the PBE level.

```
18
Lattice="4.507 0.000 0.000 -2.254 9.839 0.000 0.000 0.000 13.731" Properties=species:S:1:pos:R:3 pbc="T T T"
Ac 2.254 7.237 11.113
Ac 0.000 2.303 9.411
Ac 0.000 2.602 4.248
Ac 2.254 7.536 2.546
Ho 2.254 5.923 7.033
Ho 0.000 3.916 0.168
Cd 2.254 1.135 13.093
Cd 0.000 8.704 6.228
Te 0.000 6.994 0.014
Te 2.254 3.790 11.709
Te 0.000 9.765 10.601
Te 0.000 5.668 9.136
Te 2.254 8.907 7.857
Te 2.254 2.844 6.879
Te 0.000 6.049 4.843
Te 2.254 0.074 3.736
Te 2.254 4.170 2.270
Te 0.000 0.931 0.992
```

Size of the total moment: 0.0 Bohr magnetons per cell
E_form (uncorrected): -1.26 eV/atom
DOS at the Fermi energy: 0.26 states/eV/atom
Total energy: -4.5301 eV per atom


Below is crystalline AcHoThCd at its relaxed geometry, with properties calculated at the PBE level.

```
4
Lattice="5.635 0.000 0.000 2.818 4.880 0.000 2.818 1.627 4.601" Properties=species:S:1:pos:R:3 pbc="T T T"
Ac 8.453 4.880 3.451
Ho 5.635 3.254 2.301
Th 0.000 0.000 0.000
Cd 2.818 1.627 1.150
```

Size of the total moment: 0.0 Bohr magnetons per cell
DOS at the Fermi energy: 1.44 states/eV/atom
Total energy: -4.0974 eV per atom
Formation energy: 0.1578 eV/atom


Below is crystalline AcHoTlCd at its relaxed geometry, with properties calculated at the PBE level.

```
4
Lattice="3.908 0.000 0.000 0.000 3.908 0.000 0.000 0.000 7.943" Properties=species:S:1:pos:R:3 pbc="T T T"
Ac 1.954 1.954 0.888
Ho 1.954 1.954 4.765
Tl 0.000 0.000 6.546
Cd 0.000 0.000 3.115
```

Size of the total moment: 0.0 Bohr magnetons per cell
Energy above the most stable polymorph in this dataset: 0.0 meV per atom
DOS at the Fermi energy: 1.22 states/eV/atom
Total energy: -3.3030 eV per atom
Formation energy: -0.3111 eV/atom


Below is crystalline Ac3Ho2Tl4Cd2 at its relaxed geometry, with properties calculated at the PBE level.

```
11
Lattice="5.171 0.000 0.000 -2.586 4.478 0.000 0.000 0.000 15.757" Properties=species:S:1:pos:R:3 pbc="T T T"
Ac 0.000 0.000 11.665
Ac 0.000 0.000 0.000
Ac 0.000 0.000 4.092
Ho 2.586 1.493 6.781
Ho 0.000 2.986 8.976
Tl 2.586 1.493 2.013
Tl 0.000 2.986 13.743
Tl 2.586 1.493 9.915
Tl 0.000 2.986 5.841
Cd 2.586 1.493 13.771
Cd 0.000 2.986 1.986
```

Size of the total moment: 0.0 Bohr magnetons per cell
DOS at the Fermi energy: 0.88 states/eV/atom
Total energy: -3.2029 eV per atom
Formation energy: -0.2233 eV/atom


Below is crystalline AcHoTlCd at its relaxed geometry, with properties calculated at the PBE level.

```
4
Lattice="-0.383 -5.161 2.105 2.419 -4.284 -2.648 4.506 -2.460 2.203" Properties=species:S:1:pos:R:3 pbc="T T T"
Ac 3.271 -5.952 0.830
Cd 4.906 -8.929 1.245
Tl 1.635 -2.976 0.415
Ho 0.000 0.000 0.000
```

Size of the total moment: 0.0 Bohr magnetons per cell
Energy above the most stable polymorph in this dataset: 20.1 meV per atom
DOS at the Fermi energy: 1.18 states/eV/atom
Total energy: -3.2829 eV per atom
Formation energy: -0.2910 eV/atom


Below is crystalline AcYHoCd at its relaxed geometry, with properties calculated at the PBE level.

```
4
Lattice="-0.842 -1.174 5.432 4.367 -0.258 3.529 0.715 4.000 3.883" Properties=species:S:1:pos:R:3 pbc="T T T"
Y 3.180 1.926 9.633
Ac 2.120 1.284 6.422
Ho 1.060 0.642 3.211
Cd 0.000 0.000 0.000
```

Size of the total moment: 0.0 Bohr magnetons per cell
DOS at the Fermi energy: 1.75 states/eV/atom
Total energy: -3.9301 eV per atom
Formation energy: 0.0863 eV/atom


Below is crystalline AcCdI6 at its relaxed geometry, with properties calculated at the PBE level.

```
8
Lattice="7.853 0.118 -0.436 4.011 6.886 -0.086 3.567 2.435 6.814" Properties=species:S:1:pos:R:3 pbc="T T T"
Ac 7.716 4.720 3.146
Cd 0.000 0.000 0.000
I 4.745 4.673 4.734
I 8.924 2.273 4.970
I 6.624 2.311 1.295
I 6.507 7.166 1.322
I 10.686 4.767 1.558
I 8.807 7.128 4.997
```

Size of the total moment: 1.0 Bohr magnetons per cell
E_form (uncorrected): -0.83 eV/atom
DOS at the Fermi energy: 0.41 states/eV/atom
Total energy: -2.6175 eV per atom


Below is crystalline Ac4CdI5 at its relaxed geometry, with properties calculated at the PBE level.

```
10
Lattice="-2.325 -1.736 3.439 -2.087 -8.061 -5.481 10.017 -1.871 2.884" Properties=species:S:1:pos:R:3 pbc="T T T"
Ac 1.489 -2.330 2.774
Ac -0.454 -1.878 -1.255
Ac 4.116 -9.338 -1.932
Ac 6.059 -9.790 2.097
Cd -1.163 -0.868 1.720
I 2.312 -3.610 -0.260
I 1.319 -7.543 -2.917
I 4.286 -4.125 3.759
I -2.206 -4.898 -1.021
I 3.293 -8.058 1.102
```

Size of the total moment: 0.0 Bohr magnetons per cell
E_form (uncorrected): -1.05 eV/atom
DOS at the Fermi energy: 0.41 states/eV/atom
Total energy: -3.5614 eV per atom


Below is crystalline AcCd2I8 at its relaxed geometry, with properties calculated at the PBE level.

```
11
Lattice="-2.600 3.535 -5.441 -7.526 -5.148 -0.245 -3.979 6.170 5.413" Properties=species:S:1:pos:R:3 pbc="T T T"
Ac 0.000 0.000 0.000
Cd -3.740 1.449 -0.554
Cd -10.364 3.107 0.282
I -5.107 6.785 -0.367
I -6.672 5.191 3.803
I -4.534 2.867 -2.893
I -9.570 1.689 2.621
I -7.432 -0.634 -4.075
I -8.998 -2.228 0.094
I -6.083 1.384 1.046
I -8.021 3.173 -1.318
```

Size of the total moment: 0.0 Bohr magnetons per cell
E_form (uncorrected): -0.81 eV/atom
DOS at the Fermi energy: 0.15 states/eV/atom
Total energy: -2.4774 eV per atom